{"formula": "ZnCoF6", "functional": "GGA+U", "state": "relaxed", "cell": [[4.896, 0.000, 0.000], [-2.448, 4.240, 0.000], [0.000, 0.000, 9.001]], "species": ["Zn", "Zn", "Co", "Co", "F", "F", "F", "F", "F", "F", "F", "F", "F", "F", "F", "F"], "frac_coords": [[0.333, 0.667, 0.250], [0.667, 0.333, 0.750], [0.000, 0.000, 0.000], [0.000, 0.000, 0.500], [0.013, 0.310, 0.116], [0.013, 0.703, 0.384], [0.297, 0.310, 0.384], [0.297, 0.987, 0.116], [0.310, 0.013, 0.616], [0.310, 0.297, 0.884], [0.690, 0.703, 0.116], [0.690, 0.987, 0.384], [0.703, 0.013, 0.884], [0.703, 0.690, 0.616], [0.987, 0.297, 0.616], [0.987, 0.690, 0.884]], "space_group": "P-31c (163)", "dft_energy_ev_per_atom": -4.015}